No. 1
Here is a geometry-optimized Na2CaHg4 structure from the Alexandria database. Energies are from PBE.

POSCAR file:
```
Na2CaHg4
1.0
-2.142 -2.090 -4.299
-2.126 -0.799 4.640
-5.128 7.509 -1.096
Na Ca Hg
2 1 4
Direct
0.669 0.338 0.915 Na
0.331 0.662 0.085 Na
0.000 0.000 0.500 Ca
0.671 0.342 0.262 Hg
0.329 0.658 0.738 Hg
0.665 0.329 0.599 Hg
0.335 0.671 0.401 Hg
```

---

No. 2
Here is a geometry-optimized LaPmCdCo structure from the Alexandria database. Energies are from PBE.

POSCAR file:
```
LaPmCdCo
1.0
5.242 0.000 0.000
2.621 4.539 0.000
2.621 1.513 4.280
Cd La Co Pm
1 1 1 1
Direct
0.750 0.750 0.750 Cd
0.000 0.000 0.000 La
0.250 0.250 0.250 Co
0.500 0.500 0.500 Pm
```

---

no.,DFT total energy (eV per atom),DOS(E_F) (states/eV/f.u.),total moment (μB per formula unit)
1,-1.04,3.2,0.0
2,-4.47,3.3,0.6